# 1
MoPPb2: relaxed, GGA-PBE.

Lattice parameters (Å, degrees): 7.982 7.982 6.056 90.00 90.00 90.00
Space group I-42d (No. 122)
Inequivalent atoms, fractional coordinates:
Mo (0.000, 0.000, 0.000) (multiplicity 4)
P (0.000, 0.000, 0.500) (multiplicity 4)
Pb (0.234, 0.250, 0.625) (multiplicity 8)

Values from the calculation:
As for the density of states at the Fermi level: 0.82 states/eV per atom. Its spin magnetization is 3.04 μB per formula unit. As for the formation energy: 0.9185 eV per atom. The theoretical density comes out at 9.317 Mg/m³. Its raw total energy is -4.996 eV/atom.

=====

# 2
Mo2PPb: relaxed, GGA-PBE.

Lattice parameters (Å, degrees): 3.136 3.136 7.043 90.00 90.00 90.00
Space group P4/mmm (No. 123)
Inequivalent atoms, fractional coordinates:
Mo (0.000, 0.000, 0.183) (multiplicity 2)
P (0.500, 0.500, 0.000) (multiplicity 1)
Pb (0.500, 0.500, 0.500) (multiplicity 1)

Values from the calculation:
As for the density of states at the Fermi level: 1.09 states/eV per atom. Its spin magnetization is 0.00 μB per formula unit. As for the distance to the lowest polymorph of the same formula: 0.100 eV/atom. As for the formation energy: 0.1580 eV per atom. The theoretical density comes out at 10.311 Mg/m³. Its raw total energy is -7.537 eV/atom.

=====

# 3
MoP2Pb: relaxed, GGA-PBE.

Lattice parameters (Å, degrees): 3.780 3.847 5.488 90.00 90.57 90.00
Space group P2/m (No. 10)
Inequivalent atoms, fractional coordinates:
Mo (0.000, 0.000, 0.000) (multiplicity 1)
P (0.000, 0.000, 0.500) (multiplicity 1)
P (0.500, 0.500, 0.000) (multiplicity 1)
Pb (0.500, 0.500, 0.500) (multiplicity 1)

Values from the calculation:
As for the density of states at the Fermi level: 0.77 states/eV per atom. Its spin magnetization is 2.12 μB per formula unit. As for the distance to the lowest polymorph of the same formula: 0.548 eV/atom. As for the formation energy: 0.4586 eV per atom. The theoretical density comes out at 7.598 Mg/m³. Its raw total energy is -5.881 eV/atom.

=====

# 4
MoPPb2: relaxed, GGA-PBE.

Lattice parameters (Å, degrees): 3.836 5.205 8.758 90.00 90.00 90.00
Space group Cmmm (No. 65)
Inequivalent atoms, fractional coordinates:
Mo (0.000, 0.000, 0.000) (multiplicity 2)
P (0.000, 0.000, 0.500) (multiplicity 2)
Pb (0.000, 0.500, 0.249) (multiplicity 4)

Values from the calculation:
As for the density of states at the Fermi level: 0.99 states/eV per atom. Its spin magnetization is 0.00 μB per formula unit. As for the formation energy: 0.8412 eV per atom. The theoretical density comes out at 10.282 Mg/m³. Its raw total energy is -5.073 eV/atom.

=====

# 5
MoP2PdPb: relaxed, GGA-PBE.

Lattice parameters (Å, degrees): 4.638 4.638 5.126 90.00 90.00 90.00
Space group P4/mmm (No. 123)
Inequivalent atoms, fractional coordinates:
Mo (0.000, 0.000, 0.000) (multiplicity 1)
P (0.000, 0.500, 0.000) (multiplicity 2)
Pd (0.000, 0.000, 0.500) (multiplicity 1)
Pb (0.500, 0.500, 0.500) (multiplicity 1)

Values from the calculation:
As for the density of states at the Fermi level: 0.62 states/eV per atom. Its spin magnetization is 0.00 μB per formula unit. As for the formation energy: 0.3147 eV per atom. The theoretical density comes out at 7.100 Mg/m³. Its raw total energy is -5.796 eV/atom.

=====

# 6
ReMoP2Pb: relaxed, GGA-PBE.

Lattice parameters (Å, degrees): 4.579 4.579 5.629 90.00 90.00 90.00
Space group P4/mmm (No. 123)
Inequivalent atoms, fractional coordinates:
Re (0.000, 0.000, 0.000) (multiplicity 1)
Mo (0.500, 0.500, 0.500) (multiplicity 1)
P (0.000, 0.500, 0.500) (multiplicity 2)
Pb (0.500, 0.500, 0.000) (multiplicity 1)

Values from the calculation:
As for the density of states at the Fermi level: 0.55 states/eV per atom. Its spin magnetization is 3.78 μB per formula unit. As for the formation energy: 1.3719 eV per atom. The theoretical density comes out at 7.758 Mg/m³. Its raw total energy is -6.190 eV/atom.

=====

# 7
MoPRh2Pb: relaxed, GGA-PBE.

Lattice parameters (Å, degrees): 4.895 4.895 4.918 90.00 90.00 90.00
Space group P4/mmm (No. 123)
Inequivalent atoms, fractional coordinates:
Mo (0.000, 0.000, 0.000) (multiplicity 1)
P (0.500, 0.500, 0.000) (multiplicity 1)
Rh (0.000, 0.500, 0.500) (multiplicity 2)
Pb (0.500, 0.500, 0.500) (multiplicity 1)

Values from the calculation:
As for the density of states at the Fermi level: 2.64 states/eV per atom. Its spin magnetization is 0.01 μB per formula unit. As for the formation energy: 2.1130 eV per atom. The theoretical density comes out at 7.608 Mg/m³. Its raw total energy is -4.817 eV/atom.

=====

# 8
MoP2PbS: relaxed, GGA-PBE.

Lattice parameters (Å, degrees): 5.108 5.108 5.149 90.00 90.00 90.00
Space group P4/mmm (No. 123)
Inequivalent atoms, fractional coordinates:
Mo (0.000, 0.000, 0.000) (multiplicity 1)
P (0.000, 0.500, 0.500) (multiplicity 2)
Pb (0.500, 0.500, 0.500) (multiplicity 1)
S (0.500, 0.500, 0.000) (multiplicity 1)

Values from the calculation:
As for the density of states at the Fermi level: 0.76 states/eV per atom. For the formation energy without anion corrections, the calculation gives 1684 meV/atom. Its spin magnetization is 2.28 μB per formula unit. The theoretical density comes out at 4.908 Mg/m³. Its raw total energy is -4.213 eV/atom.